# 1
{"formula": "ZrP2", "functional": "PBE", "state": "optimized geometry", "space_group": "No. 63", "e_form_ev_per_atom": -0.717, "m_tot_mub_per_fu": 0.00, "volume_a3_per_atom": 16.572, "lattice": [[1.761, -7.202, 0.000], [1.761, 7.202, 0.000], [0.000, 0.000, 3.919]], "species": ["Zr", "Zr", "P", "P", "P", "P"], "frac_coords": [[0.107, 0.893, 0.750], [0.893, 0.107, 0.250], [0.247, 0.753, 0.250], [0.451, 0.549, 0.750], [0.549, 0.451, 0.250], [0.753, 0.247, 0.750]]}

***

# 2
{"formula": "ZrP", "functional": "PBE", "state": "optimized geometry", "space_group": "No. 166", "e_form_ev_per_atom": -0.622, "m_tot_mub_per_fu": 0.00, "volume_a3_per_atom": 24.680, "lattice": [[2.196, 1.268, 5.907], [-2.196, 1.268, 5.907], [0.000, -2.536, 5.907]], "species": ["Zr", "Zr", "P", "P"], "frac_coords": [[0.234, 0.234, 0.234], [0.766, 0.766, 0.766], [0.088, 0.088, 0.088], [0.912, 0.912, 0.912]]}

***

# 3
{"formula": "ZrP3", "functional": "PBE", "state": "optimized geometry", "space_group": "No. 139", "e_form_ev_per_atom": -0.243, "m_tot_mub_per_fu": 0.00, "volume_a3_per_atom": 16.170, "lattice": [[-1.884, 1.884, 4.558], [1.884, -1.884, 4.558], [1.884, 1.884, -4.558]], "species": ["Zr", "P", "P", "P"], "frac_coords": [[0.000, 0.000, 0.000], [0.250, 0.750, 0.500], [0.500, 0.500, 0.000], [0.750, 0.250, 0.500]]}

***

# 4
{"formula": "ZrP2", "functional": "PBE", "state": "optimized geometry", "space_group": "No. 191", "e_form_ev_per_atom": -0.329, "m_tot_mub_per_fu": 0.00, "volume_a3_per_atom": 16.566, "lattice": [[4.117, 0.000, 0.000], [-2.059, 3.566, 0.000], [0.000, 0.000, 3.385]], "species": ["Zr", "P", "P"], "frac_coords": [[0.000, 0.000, 0.000], [0.333, 0.667, 0.500], [0.667, 0.333, 0.500]]}

***

# 5
{"formula": "ZrP", "functional": "PBE", "state": "optimized geometry", "space_group": "No. 194", "e_form_ev_per_atom": -1.276, "m_tot_mub_per_fu": 0.00, "volume_a3_per_atom": 19.222, "lattice": [[3.693, 0.000, 0.000], [-1.847, 3.198, 0.000], [0.000, 0.000, 6.510]], "species": ["Zr", "Zr", "P", "P"], "frac_coords": [[0.000, 0.000, 0.000], [0.000, 0.000, 0.500], [0.333, 0.667, 0.250], [0.667, 0.333, 0.750]]}

***

# 6
{"formula": "ZrP2", "functional": "PBE", "state": "optimized geometry", "space_group": "No. 205", "e_form_ev_per_atom": -0.477, "m_tot_mub_per_fu": 0.00, "volume_a3_per_atom": 21.299, "lattice": [[6.346, 0.000, 0.000], [0.000, 6.346, 0.000], [0.000, 0.000, 6.346]], "species": ["Zr", "Zr", "Zr", "Zr", "P", "P", "P", "P", "P", "P", "P", "P"], "frac_coords": [[0.000, 0.000, 0.000], [0.000, 0.500, 0.500], [0.500, 0.000, 0.500], [0.500, 0.500, 0.000], [0.100, 0.600, 0.900], [0.100, 0.900, 0.400], [0.400, 0.100, 0.900], [0.400, 0.400, 0.400], [0.600, 0.600, 0.600], [0.600, 0.900, 0.100], [0.900, 0.100, 0.600], [0.900, 0.400, 0.100]]}

***

# 7
{"formula": "Zr2P", "functional": "PBE", "state": "optimized geometry", "space_group": "No. 225", "e_form_ev_per_atom": -0.773, "m_tot_mub_per_fu": 0.00, "volume_a3_per_atom": 20.369, "lattice": [[0.000, 3.126, 3.126], [3.126, 0.000, 3.126], [3.126, 3.126, 0.000]], "species": ["Zr", "Zr", "P"], "frac_coords": [[0.250, 0.250, 0.250], [0.750, 0.750, 0.750], [0.000, 0.000, 0.000]]}

***

# 8
{"formula": "Zr4P", "functional": "PBE", "state": "optimized geometry", "space_group": "No. 87", "e_form_ev_per_atom": -0.346, "m_tot_mub_per_fu": 0.00, "volume_a3_per_atom": 21.048, "relative_energy_mev_per_atom": 0.0, "lattice": [[-3.976, 3.976, 1.664], [3.976, -3.976, 1.664], [3.976, 3.976, -1.664]], "species": ["Zr", "Zr", "Zr", "Zr", "P"], "frac_coords": [[0.073, 0.722, 0.795], [0.278, 0.073, 0.351], [0.722, 0.927, 0.649], [0.927, 0.278, 0.205], [0.500, 0.500, 0.000]]}